First-principles (PBE) data for an optimized crystal structure of ScUIr, as listed in the Open Quantum Materials Database.

Properties
As for the raw total energy: -0.6233 Ry/atom. Its offset from the most stable computed form is 546 meV per atom. The calculation puts the formation energy at 1.04 eV per formula unit. The space-group type is F-43m, No. 216. The density comes out at 11.9 g/cm³.

a b c (Å): 6.4330 6.4330 6.4330
angles (deg): 90.00 90.00 90.00
Fractional positions:
Sc (0.0000, 0.0000, 0.0000)
Sc (0.0000, 0.5000, 0.5000)
Sc (0.5000, 0.0000, 0.5000)
Sc (0.5000, 0.5000, 0.0000)
U (0.2500, 0.2500, 0.7500)
U (0.2500, 0.7500, 0.2500)
U (0.7500, 0.2500, 0.2500)
U (0.7500, 0.7500, 0.7500)
Ir (0.0000, 0.0000, 0.5000)
Ir (0.0000, 0.5000, 0.0000)
Ir (0.5000, 0.0000, 0.0000)
Ir (0.5000, 0.5000, 0.5000)

First-principles (PBE) data for an optimized crystal structure of ScUIr, as listed in the Open Quantum Materials Database.

Properties
As for the raw total energy: -0.6634 Ry/atom. Its offset from the most stable computed form is 0 meV per atom. The calculation puts the formation energy at -0.60 eV per formula unit. The space-group type is F-43m, No. 216. The density comes out at 11.3 g/cm³.

a b c (Å): 6.5302 6.5302 6.5302
angles (deg): 90.00 90.00 90.00
Fractional positions:
Sc (0.0000, 0.0000, 0.0000)
Sc (0.0000, 0.5000, 0.5000)
Sc (0.5000, 0.0000, 0.5000)
Sc (0.5000, 0.5000, 0.0000)
U (0.0000, 0.0000, 0.5000)
U (0.0000, 0.5000, 0.0000)
U (0.5000, 0.0000, 0.0000)
U (0.5000, 0.5000, 0.5000)
Ir (0.2500, 0.2500, 0.7500)
Ir (0.2500, 0.7500, 0.2500)
Ir (0.7500, 0.2500, 0.2500)
Ir (0.7500, 0.7500, 0.7500)

First-principles (PBE) data for an optimized crystal structure of ScIrW2, as listed in the Open Quantum Materials Database.

Properties
As for the raw total energy: -0.7689 Ry/atom. The calculation puts the formation energy at -0.74 eV per formula unit. The space-group type is F-43m, No. 216. The density comes out at 15.5 g/cm³.

a b c (Å): 6.3798 6.3798 6.3798
angles (deg): 90.00 90.00 90.00
Fractional positions:
Sc (0.0000, 0.0000, 0.0000)
Sc (0.0000, 0.5000, 0.5000)
Sc (0.5000, 0.0000, 0.5000)
Sc (0.5000, 0.5000, 0.0000)
Ir (0.2500, 0.2500, 0.2500)
Ir (0.2500, 0.7500, 0.7500)
Ir (0.7500, 0.2500, 0.7500)
Ir (0.7500, 0.7500, 0.2500)
W (0.0000, 0.0000, 0.5000)
W (0.0000, 0.5000, 0.0000)
W (0.2500, 0.2500, 0.7500)
W (0.2500, 0.7500, 0.2500)
W (0.5000, 0.0000, 0.0000)
W (0.5000, 0.5000, 0.5000)
W (0.7500, 0.2500, 0.2500)
W (0.7500, 0.7500, 0.7500)

First-principles (PBE) data for an optimized crystal structure of ScIr2W, as listed in the Open Quantum Materials Database.

Properties
As for the raw total energy: -0.6847 Ry/atom. The calculation puts the formation energy at -0.26 eV per formula unit. The space-group type is F-43m, No. 216. The density comes out at 16.1 g/cm³.

a b c (Å): 6.3279 6.3279 6.3279
angles (deg): 90.00 90.00 90.00
Fractional positions:
Sc (0.0000, 0.0000, 0.0000)
Sc (0.0000, 0.5000, 0.5000)
Sc (0.5000, 0.0000, 0.5000)
Sc (0.5000, 0.5000, 0.0000)
Ir (0.0000, 0.0000, 0.5000)
Ir (0.0000, 0.5000, 0.0000)
Ir (0.2500, 0.2500, 0.7500)
Ir (0.2500, 0.7500, 0.2500)
Ir (0.5000, 0.0000, 0.0000)
Ir (0.5000, 0.5000, 0.5000)
Ir (0.7500, 0.2500, 0.2500)
Ir (0.7500, 0.7500, 0.7500)
W (0.2500, 0.2500, 0.2500)
W (0.2500, 0.7500, 0.7500)
W (0.7500, 0.2500, 0.7500)
W (0.7500, 0.7500, 0.2500)

First-principles (PBE) data for an optimized crystal structure of YSc2Ir, as listed in the Open Quantum Materials Database.

Properties
As for the raw total energy: -0.5371 Ry/atom. The calculation puts the formation energy at -1.25 eV per formula unit. The space-group type is F-43m, No. 216. The density comes out at 7.5 g/cm³.

a b c (Å): 6.9113 6.9113 6.9113
angles (deg): 90.00 90.00 90.00
Fractional positions:
Y (0.0000, 0.0000, 0.0000)
Y (0.0000, 0.5000, 0.5000)
Y (0.5000, 0.0000, 0.5000)
Y (0.5000, 0.5000, 0.0000)
Sc (0.0000, 0.0000, 0.5000)
Sc (0.0000, 0.5000, 0.0000)
Sc (0.2500, 0.2500, 0.7500)
Sc (0.2500, 0.7500, 0.2500)
Sc (0.5000, 0.0000, 0.0000)
Sc (0.5000, 0.5000, 0.5000)
Sc (0.7500, 0.2500, 0.2500)
Sc (0.7500, 0.7500, 0.7500)
Ir (0.2500, 0.2500, 0.2500)
Ir (0.2500, 0.7500, 0.7500)
Ir (0.7500, 0.2500, 0.7500)
Ir (0.7500, 0.7500, 0.2500)

First-principles (PBE) data for an optimized crystal structure of Y2ScIr2, as listed in the Open Quantum Materials Database.

Properties
As for the raw total energy: -0.5995 Ry/atom. The calculation puts the formation energy at -3.81 eV per formula unit. The space-group type is P4/mbm, No. 127. The density comes out at 9.2 g/cm³.

a b c (Å): 7.2249 7.2249 4.1834
angles (deg): 90.00 90.00 90.00
Fractional positions:
Y (0.1715, 0.3285, 0.0000)
Y (0.3285, 0.8285, 0.0000)
Y (0.6715, 0.1715, 0.0000)
Y (0.8285, 0.6715, 0.0000)
Sc (0.0000, 0.0000, 0.5000)
Sc (0.5000, 0.5000, 0.5000)
Ir (0.1341, 0.6341, 0.5000)
Ir (0.3659, 0.1341, 0.5000)
Ir (0.6341, 0.8659, 0.5000)
Ir (0.8659, 0.3659, 0.5000)

First-principles (PBE) data for an optimized crystal structure of YScIr, as listed in the Open Quantum Materials Database.

Properties
As for the raw total energy: -0.5284 Ry/atom. The calculation puts the formation energy at 0.08 eV per formula unit. The space-group type is F-43m, No. 216. The density comes out at 8.2 g/cm³.

a b c (Å): 6.4292 6.4292 6.4292
angles (deg): 90.00 90.00 90.00
Fractional positions:
Y (0.0000, 0.0000, 0.0000)
Y (0.0000, 0.5000, 0.5000)
Y (0.5000, 0.0000, 0.5000)
Y (0.5000, 0.5000, 0.0000)
Sc (0.2500, 0.2500, 0.7500)
Sc (0.2500, 0.7500, 0.2500)
Sc (0.7500, 0.2500, 0.2500)
Sc (0.7500, 0.7500, 0.7500)
Ir (0.0000, 0.0000, 0.5000)
Ir (0.0000, 0.5000, 0.0000)
Ir (0.5000, 0.0000, 0.0000)
Ir (0.5000, 0.5000, 0.5000)

First-principles (PBE) data for an optimized crystal structure of ScZnIr, as listed in the Open Quantum Materials Database.

Properties
As for the raw total energy: -0.4070 Ry/atom. The calculation puts the formation energy at -0.16 eV per formula unit. The space-group type is F-43m, No. 216. The density comes out at 8.6 g/cm³.

a b c (Å): 6.1641 6.1641 6.1641
angles (deg): 90.00 90.00 90.00
Fractional positions:
Sc (0.0000, 0.0000, 0.0000)
Sc (0.0000, 0.5000, 0.5000)
Sc (0.5000, 0.0000, 0.5000)
Sc (0.5000, 0.5000, 0.0000)
Zn (0.2500, 0.2500, 0.2500)
Zn (0.2500, 0.7500, 0.7500)
Zn (0.7500, 0.2500, 0.7500)
Zn (0.7500, 0.7500, 0.2500)
Ir (0.2500, 0.2500, 0.7500)
Ir (0.2500, 0.7500, 0.2500)
Ir (0.7500, 0.2500, 0.2500)
Ir (0.7500, 0.7500, 0.7500)

First-principles (PBE) data for an optimized crystal structure of ScZnIr2, as listed in the Open Quantum Materials Database.

Properties
As for the raw total energy: -0.4853 Ry/atom. The calculation puts the formation energy at -1.11 eV per formula unit. The space-group type is F-43m, No. 216. The density comes out at 13.0 g/cm³.

a b c (Å): 6.3248 6.3248 6.3248
angles (deg): 90.00 90.00 90.00
Fractional positions:
Sc (0.0000, 0.0000, 0.0000)
Sc (0.0000, 0.5000, 0.5000)
Sc (0.5000, 0.0000, 0.5000)
Sc (0.5000, 0.5000, 0.0000)
Zn (0.2500, 0.2500, 0.7500)
Zn (0.2500, 0.7500, 0.2500)
Zn (0.7500, 0.2500, 0.2500)
Zn (0.7500, 0.7500, 0.7500)
Ir (0.0000, 0.0000, 0.5000)
Ir (0.0000, 0.5000, 0.0000)
Ir (0.2500, 0.2500, 0.2500)
Ir (0.2500, 0.7500, 0.7500)
Ir (0.5000, 0.0000, 0.0000)
Ir (0.5000, 0.5000, 0.5000)
Ir (0.7500, 0.2500, 0.7500)
Ir (0.7500, 0.7500, 0.2500)

First-principles (PBE) data for an optimized crystal structure of IrSe, as listed in the Open Quantum Materials Database.

Properties
As for the raw total energy: -0.4111 Ry/atom. The space-group type is P-6m2, No. 187. The density comes out at 13.8 g/cm³.

a b c (Å): 3.0155 3.0155 4.1497
angles (deg): 90.00 90.00 120.00
Fractional positions:
Ir (0.0000, 0.0000, 0.0000)
Se (0.6667, 0.3333, 0.5000)

First-principles (PBE) data for an optimized crystal structure of Ir2Se3, as listed in the Open Quantum Materials Database.

Properties
As for the raw total energy: -0.4209 Ry/atom. The space-group type is Fddd, No. 70. The density comes out at 9.6 g/cm³.

a b c (Å): 12.1734 11.5715 6.4472
angles (deg): 79.47 69.15 31.38
Fractional positions:
Ir (0.0424, 0.0424, 0.2076)
Ir (0.1318, 0.1318, 0.6182)
Ir (0.2076, 0.2076, 0.0424)
Ir (0.3818, 0.3818, 0.8682)
Ir (0.6182, 0.6182, 0.1318)
Ir (0.7924, 0.7924, 0.9576)
Ir (0.8682, 0.8682, 0.3818)
Ir (0.9576, 0.9576, 0.7924)
Se (0.0597, 0.5374, 0.1610)
Se (0.0982, 0.6518, 0.6518)
Se (0.1610, 0.7418, 0.0597)
Se (0.2582, 0.8390, 0.4626)
Se (0.3482, 0.9018, 0.9018)
Se (0.4626, 0.9403, 0.2582)
Se (0.5374, 0.0597, 0.7418)
Se (0.6518, 0.0982, 0.0982)
Se (0.7418, 0.1610, 0.5374)
Se (0.8390, 0.2582, 0.9403)
Se (0.9018, 0.3482, 0.3482)
Se (0.9403, 0.4626, 0.8390)

First-principles (PBE) data for an optimized crystal structure of Ir2Se3, as listed in the Open Quantum Materials Database.

Properties
As for the raw total energy: -0.4099 Ry/atom. The space-group type is I4_1md, No. 109. The density comes out at 7.9 g/cm³.

a b c (Å): 7.1370 7.1370 7.1370
angles (deg): 118.55 118.55 92.53
Fractional positions:
Ir (0.3087, 0.0000, 0.3087)
Ir (0.6913, 0.0000, 0.6913)
Ir (0.7500, 0.5587, 0.8087)
Ir (0.7500, 0.9413, 0.1913)
Se (0.0280, 0.7602, 0.2678)
Se (0.0877, 0.0877, 0.0000)
Se (0.4924, 0.7602, 0.7322)
Se (0.5102, 0.2780, 0.7678)
Se (0.5102, 0.7424, 0.2322)
Se (0.8377, 0.3377, 0.5000)